[1]
The following is a GGA-PBE calculation of a geometry-optimized ScSb2Os structure, from Alexandria via LeMat-Bulk.

a b c (Å): 4.313 3.331 5.843
angles (deg): 84.31 90.00 90.00
Atoms (fractional coordinates):
Os1 0.500 0.750 0.750
Sb1 0.000 0.897 0.994
Sb2 0.000 0.603 0.506
Sc1 0.500 0.250 0.250

formation energy from raw total energies = 0.02 eV/f.u.
space-group type = P2/m
crystal system = monoclinic
total moment = 0.00 μB/f.u.
offset from the most stable computed form = 228 meV/atom
VASP energy = -25.79 eV per cell
Fermi-level density of states = 0.537 states/eV per atom


[2]
The following is a GGA-PBE calculation of a geometry-optimized ScSb2Os structure, from Alexandria via LeMat-Bulk.

a b c (Å): 4.820 4.820 4.820
angles (deg): 60.00 60.00 60.00
Atoms (fractional coordinates):
Sc1 0.000 0.000 0.000
Sb1 0.250 0.250 0.250
Os1 0.500 0.500 0.500
Sb2 0.750 0.750 0.750

formation energy from raw total energies = 0.12 eV/f.u.
space-group type = Fm-3m
crystal system = cubic
total moment = 0.92 μB/f.u.
offset from the most stable computed form = 253 meV/atom
VASP energy = -25.69 eV per cell
Fermi-level density of states = 1.206 states/eV per atom


[3]
The following is a GGA-PBE calculation of a geometry-optimized ScSb2Os structure, from Alexandria via LeMat-Bulk.

a b c (Å): 3.283 3.283 7.429
angles (deg): 90.00 90.00 95.41
Atoms (fractional coordinates):
Sb1 0.000 0.000 0.977
Sc1 0.500 0.500 0.250
Sb2 0.000 0.000 0.523
Os1 0.500 0.500 0.750

formation energy from raw total energies = 0.02 eV/f.u.
space-group type = Cmmm
crystal system = orthorhombic
total moment = 0.00 μB/f.u.
offset from the most stable computed form = 229 meV/atom
VASP energy = -25.79 eV per cell
Fermi-level density of states = 0.317 states/eV per atom


[4]
The following is a GGA-PBE calculation of a geometry-optimized ScSbOs2 structure, from Alexandria via LeMat-Bulk.

a b c (Å): 9.099 9.099 9.099
angles (deg): 19.23 19.23 19.23
Atoms (fractional coordinates):
Os1 0.997 0.997 0.997
Sc1 0.743 0.743 0.743
Sb1 0.504 0.504 0.504
Os2 0.255 0.255 0.255

formation energy from raw total energies = 1.43 eV/f.u.
space-group type = R3m
crystal system = trigonal
total moment = 0.00 μB/f.u.
VASP energy = -31.48 eV per cell
Fermi-level density of states = 0.436 states/eV per atom


[5]
The following is a GGA-PBE calculation of a geometry-optimized ScSbOs3 structure, from Alexandria via LeMat-Bulk.

a b c (Å): 4.694 4.694 4.694
angles (deg): 90.00 90.00 90.00
Atoms (fractional coordinates):
Sb1 0.500 0.500 0.500
Os1 0.000 0.500 0.000
Os2 0.000 0.000 0.500
Sc1 0.000 0.000 0.000
Os3 0.500 0.000 0.000

formation energy from raw total energies = 10.54 eV/f.u.
space-group type = Pm-3m
crystal system = cubic
total moment = 0.00 μB/f.u.
offset from the most stable computed form = 394 meV/atom
VASP energy = -33.60 eV per cell
Fermi-level density of states = 1.026 states/eV per atom


[6]
The following is a GGA-PBE calculation of a geometry-optimized ScSb2Os structure, from Alexandria via LeMat-Bulk.

a b c (Å): 4.342 4.342 9.971
angles (deg): 77.42 77.42 90.00
Atoms (fractional coordinates):
Sc1 0.500 0.500 0.000
Sb1 0.375 0.353 0.750
Sb2 0.875 0.897 0.750
Os1 0.750 0.250 0.500
Sb3 0.647 0.125 0.250
Sb4 0.103 0.625 0.250
Sc2 0.250 0.750 0.500
Os2 0.000 0.000 0.000

formation energy from raw total energies = 0.83 eV/f.u.
space-group type = I-42d
crystal system = tetragonal
total moment = 0.00 μB/f.u.
offset from the most stable computed form = 431 meV/atom
VASP energy = -49.95 eV per cell
Fermi-level density of states = 0.987 states/eV per atom


[7]
The following is a GGA-PBE calculation of a geometry-optimized ScSbOs2 structure, from Alexandria via LeMat-Bulk.

a b c (Å): 8.890 8.890 8.890
angles (deg): 19.79 19.79 19.79
Atoms (fractional coordinates):
Sc1 0.750 0.750 0.750
Os1 0.001 0.001 0.001
Sb1 0.250 0.250 0.250
Os2 0.499 0.499 0.499

formation energy from raw total energies = 1.40 eV/f.u.
space-group type = R-3m
crystal system = trigonal
total moment = 0.00 μB/f.u.
VASP energy = -31.52 eV per cell
Fermi-level density of states = 1.220 states/eV per atom


[8]
The following is a GGA-PBE calculation of a geometry-optimized ScSb2Os structure, from Alexandria via LeMat-Bulk.

a b c (Å): 4.818 7.609 3.392
angles (deg): 63.59 89.96 129.28
Atoms (fractional coordinates):
Sb1 0.000 0.500 0.500
Sc1 0.500 0.500 0.000
Sb2 0.000 0.000 0.000
Os1 0.500 0.000 0.500

formation energy from raw total energies = -0.06 eV/f.u.
space-group type = P4/mmm
crystal system = tetragonal
total moment = 0.00 μB/f.u.
offset from the most stable computed form = 208 meV/atom
VASP energy = -25.87 eV per cell
Fermi-level density of states = 0.853 states/eV per atom


[9]
The following is a GGA-PBE calculation of a geometry-optimized ScSb3Os structure, from Alexandria via LeMat-Bulk.

a b c (Å): 5.335 5.335 5.335
angles (deg): 90.00 90.00 90.00
Atoms (fractional coordinates):
Sc1 0.000 0.000 0.000
Sb1 0.000 0.500 0.000
Sb2 0.500 0.000 0.000
Sb3 0.000 0.000 0.500
Os1 0.500 0.500 0.500

formation energy from raw total energies = 6.78 eV/f.u.
space-group type = Pm-3m
crystal system = cubic
total moment = 2.86 μB/f.u.
offset from the most stable computed form = 762 meV/atom
VASP energy = -23.15 eV per cell
Fermi-level density of states = 1.592 states/eV per atom


[10]
The following is a GGA-PBE calculation of a geometry-optimized ScSb2Os structure, from Alexandria via LeMat-Bulk.

a b c (Å): 4.414 4.414 6.330
angles (deg): 79.23 79.23 44.24
Atoms (fractional coordinates):
Sb1 0.508 0.508 0.467
Os1 0.250 0.250 0.250
Sc1 0.750 0.750 0.750
Sb2 0.992 0.992 0.033

formation energy from raw total energies = -0.18 eV/f.u.
space-group type = C2/m
crystal system = monoclinic
total moment = 0.00 μB/f.u.
offset from the most stable computed form = 178 meV/atom
VASP energy = -25.99 eV per cell
Fermi-level density of states = 0.758 states/eV per atom


[11]
The following is a GGA-PBE calculation of a geometry-optimized ScSbOs2 structure, from Alexandria via LeMat-Bulk.

a b c (Å): 4.589 3.025 5.102
angles (deg): 90.45 90.00 90.00
Atoms (fractional coordinates):
Os1 0.000 0.079 0.979
Os2 0.000 0.421 0.521
Sb1 0.500 0.250 0.250
Sc1 0.500 0.750 0.750

formation energy from raw total energies = 0.76 eV/f.u.
space-group type = P2/m
crystal system = monoclinic
total moment = 0.00 μB/f.u.
VASP energy = -32.15 eV per cell
Fermi-level density of states = 0.839 states/eV per atom


[12]
The following is a GGA-PBE calculation of a geometry-optimized ScSb2Os structure, from Alexandria via LeMat-Bulk.

a b c (Å): 5.424 5.424 5.424
angles (deg): 134.44 134.44 66.41
Atoms (fractional coordinates):
Sb1 0.250 0.750 0.500
Sc1 0.500 0.500 0.000
Os1 0.750 0.250 0.500
Sb2 0.000 0.000 0.000

formation energy from raw total energies = 0.14 eV/f.u.
space-group type = I-4m2
crystal system = tetragonal
total moment = 0.00 μB/f.u.
offset from the most stable computed form = 259 meV/atom
VASP energy = -25.66 eV per cell
Fermi-level density of states = 0.552 states/eV per atom


[13]
The following is a GGA-PBE calculation of a geometry-optimized ScSb3Os structure, from Alexandria via LeMat-Bulk.

a b c (Å): 5.183 5.183 5.183
angles (deg): 90.00 90.00 90.00
Atoms (fractional coordinates):
Sc1 0.500 0.500 0.500
Sb1 0.500 0.000 0.000
Sb2 0.000 0.500 0.000
Sb3 0.000 0.000 0.500
Os1 0.000 0.000 0.000

formation energy from raw total energies = 2.97 eV/f.u.
space-group type = Pm-3m
crystal system = cubic
total moment = 1.03 μB/f.u.
offset from the most stable computed form = 0 meV/atom
VASP energy = -26.96 eV per cell
Fermi-level density of states = 1.546 states/eV per atom


[14]
The following is a GGA-PBE calculation of a geometry-optimized ScSbOs2 structure, from Alexandria via LeMat-Bulk.

a b c (Å): 3.253 3.253 6.384
angles (deg): 90.00 90.00 90.00
Atoms (fractional coordinates):
Os1 0.000 0.000 0.496
Os2 0.000 0.000 0.004
Sc1 0.500 0.500 0.750
Sb1 0.500 0.500 0.250

formation energy from raw total energies = -0.14 eV/f.u.
space-group type = P4/mmm
crystal system = tetragonal
total moment = 0.00 μB/f.u.
VASP energy = -33.05 eV per cell
Fermi-level density of states = 0.177 states/eV per atom